The following is a PBE calculation of an optimized crystal structure of RbZrSi, from the Open Quantum Materials Database.

a = 5.0164 Å, b = 5.0164 Å, c = 5.0164 Å
α = 60.00°, β = 60.00°, γ = 60.00°
Fractional coordinates of all 3 atoms:
Rb1 0.2500 0.2500 0.2500
Si1 0.0000 0.0000 0.0000
Zr1 0.7500 0.7500 0.7500

Properties
calculated volume	29.75	A^3/atom
offset from the most stable computed form	0.0	meV per atom
final energy	-4.099	eV/atom